(1)
CeNpCuO6: optimized geometry, PBE.

Geometry as POSCAR:
```
CeNpCuO6
1.0
5.3100 0.0000 0.0000
-2.6550 4.5986 0.0000
0.0000 0.0000 10.1889
Ce Np Cu O
2 2 2 12
Direct
0.0000 0.0000 0.0000 Ce
0.0000 0.0000 0.5000 Ce
0.3333 0.6667 0.2500 Np
0.6667 0.3333 0.7500 Np
0.3333 0.6667 0.7500 Cu
0.6667 0.3333 0.2500 Cu
0.0111 0.3494 0.1359 O
0.0111 0.6617 0.3641 O
0.3383 0.3494 0.3641 O
0.3383 0.9889 0.1359 O
0.3494 0.0111 0.6359 O
0.3494 0.3383 0.8641 O
0.6506 0.6617 0.1359 O
0.6506 0.9889 0.3641 O
0.6617 0.0111 0.8641 O
0.6617 0.6506 0.6359 O
0.9889 0.3383 0.6359 O
0.9889 0.6506 0.8641 O
```

Computed properties:
The crystal system is trigonal. For the spin magnetization, the calculation gives 0.0 μB/cell. Its total DFT energy (no corrections) is -148.81 eV/cell. The calculation puts the density of states at the Fermi level at 1.062 states/eV per atom. As for the space group: P-31c.


(2)
Cd3W: optimized geometry, PBE.

Geometry as POSCAR:
```
Cd3W
1.0
5.0388 0.0000 0.0000
0.0000 5.0388 0.0000
0.0000 0.0000 3.0567
Cd W
3 1
Direct
0.0000 0.0000 0.0000 Cd
0.0000 0.5000 0.5000 Cd
0.5000 0.0000 0.5000 Cd
0.5000 0.5000 0.0000 W
```

Computed properties:
The crystal system is tetragonal. For the spin magnetization, the calculation gives 0.0 μB/cell. Its total DFT energy (no corrections) is -13.15 eV/cell. The calculation puts the density of states at the Fermi level at 0.424 states/eV per atom. As for the space group: P4/mmm.


(3)
HfZnNiAu: optimized geometry, PBE.

Geometry as POSCAR:
```
HfZnNiAu
1.0
6.3651 0.0000 0.0000
0.0000 6.3651 0.0000
0.0000 0.0000 6.3651
Hf Zn Ni Au
4 4 4 4
Direct
0.0000 0.0000 0.0000 Hf
0.0000 0.5000 0.5000 Hf
0.5000 0.0000 0.5000 Hf
0.5000 0.5000 0.0000 Hf
0.0000 0.0000 0.5000 Zn
0.0000 0.5000 0.0000 Zn
0.5000 0.0000 0.0000 Zn
0.5000 0.5000 0.5000 Zn
0.2500 0.2500 0.2500 Ni
0.2500 0.7500 0.7500 Ni
0.7500 0.2500 0.7500 Ni
0.7500 0.7500 0.2500 Ni
0.2500 0.2500 0.7500 Au
0.2500 0.7500 0.2500 Au
0.7500 0.2500 0.2500 Au
0.7500 0.7500 0.7500 Au
```

Computed properties:
The crystal system is cubic. For the spin magnetization, the calculation gives 0.0 μB/cell. Its total DFT energy (no corrections) is -86.86 eV/cell. The calculation puts the density of states at the Fermi level at 0.798 states/eV per atom. As for the space group: F-43m.


(4)
CsGa2Cu: optimized geometry, PBE.

Geometry as POSCAR:
```
CsGa2Cu
1.0
7.4721 0.0000 0.0000
0.0000 7.4721 0.0000
0.0000 0.0000 7.4721
Cs Ga Cu
4 8 4
Direct
0.0000 0.0000 0.0000 Cs
0.0000 0.5000 0.5000 Cs
0.5000 0.0000 0.5000 Cs
0.5000 0.5000 0.0000 Cs
0.2500 0.2500 0.2500 Ga
0.2500 0.2500 0.7500 Ga
0.2500 0.7500 0.2500 Ga
0.2500 0.7500 0.7500 Ga
0.7500 0.2500 0.2500 Ga
0.7500 0.2500 0.7500 Ga
0.7500 0.7500 0.2500 Ga
0.7500 0.7500 0.7500 Ga
0.0000 0.0000 0.5000 Cu
0.0000 0.5000 0.0000 Cu
0.5000 0.0000 0.0000 Cu
0.5000 0.5000 0.5000 Cu
```

Computed properties:
The crystal system is cubic. For the spin magnetization, the calculation gives 0.0 μB/cell. Its total DFT energy (no corrections) is -34.38 eV/cell. The calculation puts the density of states at the Fermi level at 0.652 states/eV per atom. As for the space group: Fm-3m.


(5)
Ac2CuTc: optimized geometry, PBE.

Geometry as POSCAR:
```
Ac2CuTc
1.0
3.7745 0.0000 0.0000
-1.8872 3.2688 0.0000
0.0000 0.0000 28.8196
Ac Cu Tc
6 3 3
Direct
0.0000 0.0000 0.0918 Ac
0.0000 0.0000 0.9082 Ac
0.3333 0.6667 0.5749 Ac
0.3333 0.6667 0.7585 Ac
0.6667 0.3333 0.2415 Ac
0.6667 0.3333 0.4251 Ac
0.0000 0.0000 0.5000 Cu
0.3333 0.6667 0.1667 Cu
0.6667 0.3333 0.8333 Cu
0.0000 0.0000 0.0000 Tc
0.3333 0.6667 0.6667 Tc
0.6667 0.3333 0.3333 Tc
```

Computed properties:
The crystal system is trigonal. For the spin magnetization, the calculation gives 0.0 μB/cell. Its total DFT energy (no corrections) is -57.04 eV/cell. The calculation puts the density of states at the Fermi level at 0.606 states/eV per atom. As for the space group: R-3m.


(6)
Ba2NaLiAu: optimized geometry, PBE.

Geometry as POSCAR:
```
Ba2NaLiAu
1.0
6.4577 0.0000 0.0000
0.0000 6.4577 0.0000
0.0000 0.0000 5.1992
Ba Na Li Au
2 1 1 1
Direct
0.0000 0.5000 0.0000 Ba
0.5000 0.0000 0.0000 Ba
0.0000 0.0000 0.5000 Na
0.5000 0.5000 0.5000 Li
0.5000 0.5000 0.0000 Au
```

Computed properties:
The crystal system is tetragonal. For the spin magnetization, the calculation gives 0.0 μB/cell. Its total DFT energy (no corrections) is -11.70 eV/cell. The calculation puts the density of states at the Fermi level at 0.699 states/eV per atom. As for the space group: P4/mmm.


(7)
ZnIrRu: optimized geometry, PBE.

Geometry as POSCAR:
```
ZnIrRu
1.0
2.7262 0.0000 0.0000
0.0000 3.8438 0.0000
-0.0295 0.0000 8.1443
Zn Ir Ru
2 2 2
Direct
0.2471 0.2500 0.0876 Zn
0.7529 0.7500 0.9124 Zn
0.2524 0.2500 0.7490 Ir
0.7476 0.7500 0.2510 Ir
0.2498 0.2500 0.4227 Ru
0.7502 0.7500 0.5773 Ru
```

Computed properties:
The crystal system is monoclinic. For the spin magnetization, the calculation gives 0.0 μB/cell. Its total DFT energy (no corrections) is -38.98 eV/cell. The calculation puts the density of states at the Fermi level at 0.882 states/eV per atom. As for the space group: P2_1/m.


(8)
HoEr2IO8: optimized geometry, PBE.

Geometry as POSCAR:
```
HoEr2IO8
1.0
3.5053 -3.5522 0.0000
3.5053 3.5522 0.0000
0.0000 0.0000 6.7792
Ho Er I O
1 2 1 8
Direct
0.0000 0.0000 0.0000 Ho
0.5000 0.5000 0.2473 Er
0.5000 0.5000 0.7527 Er
0.0000 0.0000 0.5000 I
0.1816 0.8184 0.2909 O
0.1816 0.8184 0.7091 O
0.2709 0.2709 0.5000 O
0.3091 0.3091 0.0000 O
0.6909 0.6909 0.0000 O
0.7291 0.7291 0.5000 O
0.8184 0.1816 0.2909 O
0.8184 0.1816 0.7091 O
```

Computed properties:
The crystal system is orthorhombic. For the spin magnetization, the calculation gives 0.0 μB/cell. Its total DFT energy (no corrections) is -83.40 eV/cell. As for the space group: Cmmm.


(9)
NaPuBi: optimized geometry, PBE.

Geometry as POSCAR:
```
NaPuBi
1.0
7.5278 0.0000 0.0000
0.0000 7.5278 0.0000
0.0000 0.0000 7.5278
Na Pu Bi
4 4 4
Direct
0.0000 0.0000 0.0000 Na
0.0000 0.5000 0.5000 Na
0.5000 0.0000 0.5000 Na
0.5000 0.5000 0.0000 Na
0.0000 0.0000 0.5000 Pu
0.0000 0.5000 0.0000 Pu
0.5000 0.0000 0.0000 Pu
0.5000 0.5000 0.5000 Pu
0.2500 0.2500 0.7500 Bi
0.2500 0.7500 0.2500 Bi
0.7500 0.2500 0.2500 Bi
0.7500 0.7500 0.7500 Bi
```

Computed properties:
The crystal system is cubic. For the spin magnetization, the calculation gives 24.0 μB/cell. Its total DFT energy (no corrections) is -79.44 eV/cell. The calculation puts the density of states at the Fermi level at 5.720 states/eV per atom. As for the space group: F-43m.


(10)
Hg3Bi4Sb2: optimized geometry, PBE.

Geometry as POSCAR:
```
Hg3Bi4Sb2
1.0
6.6308 0.0000 0.0000
0.3109 9.4871 0.0000
0.1587 0.4349 9.5017
Hg Bi Sb
6 8 4
Direct
0.0040 0.3394 0.1698 Hg
0.2496 0.0121 0.5090 Hg
0.4953 0.6689 0.8407 Hg
0.5047 0.3311 0.1593 Hg
0.7504 0.9879 0.4910 Hg
0.9960 0.6606 0.8302 Hg
0.0127 0.3280 0.8238 Bi
0.0209 0.0071 0.1616 Bi
0.4665 0.6622 0.5074 Bi
0.4786 0.3232 0.8257 Bi
0.5214 0.6768 0.1743 Bi
0.5335 0.3378 0.4926 Bi
0.9791 0.9929 0.8384 Bi
0.9873 0.6720 0.1762 Bi
0.0111 0.6520 0.4977 Sb
0.4776 0.9987 0.1517 Sb
0.5224 0.0013 0.8483 Sb
0.9889 0.3480 0.5023 Sb
```

Computed properties:
The crystal system is triclinic. For the spin magnetization, the calculation gives 0.0 μB/cell. Its total DFT energy (no corrections) is -48.63 eV/cell. The calculation puts the density of states at the Fermi level at 0.259 states/eV per atom. As for the space group: P-1.


(11)
FeTePb2: optimized geometry, PBE.

Geometry as POSCAR:
```
FeTePb2
1.0
6.1211 0.0000 0.0000
0.0000 10.9288 0.0000
-3.0438 0.0000 3.3056
Fe Te Pb
2 2 4
Direct
0.0000 0.0000 0.0000 Fe
0.5000 0.5000 0.0000 Fe
0.0000 0.5000 0.0000 Te
0.5000 0.0000 0.0000 Te
0.2500 0.2500 0.5000 Pb
0.2500 0.7500 0.5000 Pb
0.7500 0.2500 0.5000 Pb
0.7500 0.7500 0.5000 Pb
```

Computed properties:
The crystal system is monoclinic. For the spin magnetization, the calculation gives 6.4 μB/cell. Its total DFT energy (no corrections) is -34.40 eV/cell. The calculation puts the density of states at the Fermi level at 1.177 states/eV per atom. As for the space group: C2/m.